# AcPm2PrAs4 PBE relaxed
data_AcPm2PrAs4
_chemical_formula_sum 'Ac1 Pm2 Pr1 As4'
_symmetry_space_group_name_H-M 'P 1 2/m 1'
_symmetry_Int_Tables_number 10
_symmetry_space_group_name_Hall '-P 2y'
_cell_length_a 7.511
_cell_length_b 4.337
_cell_length_c 7.511
_cell_angle_alpha 90.00
_cell_angle_beta 109.41
_cell_angle_gamma 90.00
loop_
_atom_site_label
_atom_site_fract_x
_atom_site_fract_y
_atom_site_fract_z
Ac1 0.000 0.000 0.000
Pm1 0.000 0.500 0.500
Pm2 0.500 0.000 0.500
Pr1 0.500 0.500 0.000
As1 0.252 0.000 0.742
As2 0.259 0.500 0.262
# ΔE_f   -1.490 eV per atom



# ZnGaNi PBE relaxed
data_ZnGaNi
_chemical_formula_sum 'Zn4 Ga4 Ni4'
_symmetry_space_group_name_H-M 'C m c m'
_symmetry_Int_Tables_number 63
_symmetry_space_group_name_Hall '-C 2c 2'
_cell_length_a 4.010
_cell_length_b 8.262
_cell_length_c 4.973
_cell_angle_alpha 90.00
_cell_angle_beta 90.00
_cell_angle_gamma 90.00
loop_
_atom_site_label
_atom_site_fract_x
_atom_site_fract_y
_atom_site_fract_z
Zn1 0.000 0.000 0.000
Ga1 0.000 0.300 0.250
Ni1 0.000 0.399 0.750
# ΔE_f   -0.211 eV per atom



# TlH2Cl4 PBE relaxed
data_TlH2Cl4
_chemical_formula_sum 'Tl1 H2 Cl4'
_symmetry_space_group_name_H-M 'P -1'
_symmetry_Int_Tables_number 2
_symmetry_space_group_name_Hall '-P 1'
_cell_length_a 4.484
_cell_length_b 6.422
_cell_length_c 7.978
_cell_angle_alpha 90.63
_cell_angle_beta 104.59
_cell_angle_gamma 110.38
loop_
_atom_site_label
_atom_site_fract_x
_atom_site_fract_y
_atom_site_fract_z
Tl1 0.000 0.000 0.000
H1 0.100 0.430 0.743
Cl1 0.043 0.774 0.341
Cl2 0.321 0.744 0.884
# Electronic total energy   -2.922 eV per atom



# SrLa2Hf PBE relaxed
data_SrLa2Hf
_chemical_formula_sum 'Sr4 La8 Hf4'
_symmetry_space_group_name_H-M 'F m -3 m'
_symmetry_Int_Tables_number 225
_symmetry_space_group_name_Hall '-F 4 2 3'
_cell_length_a 8.155
_cell_length_b 8.155
_cell_length_c 8.155
_cell_angle_alpha 90.00
_cell_angle_beta 90.00
_cell_angle_gamma 90.00
loop_
_atom_site_label
_atom_site_fract_x
_atom_site_fract_y
_atom_site_fract_z
Sr1 0.000 0.000 0.000
La1 0.250 0.250 0.250
Hf1 0.000 0.000 0.500
# ΔE_f   0.410 eV per atom
# Energy relative to the lowest polymorph listed for this composition   0 meV/atom



# Ba2SrCaHg PBE relaxed
data_Ba2SrCaHg
_chemical_formula_sum 'Ba2 Sr1 Ca1 Hg1'
_symmetry_space_group_name_H-M 'P 4/m m m'
_symmetry_Int_Tables_number 123
_symmetry_space_group_name_Hall '-P 4 2'
_cell_length_a 6.634
_cell_length_b 6.634
_cell_length_c 6.121
_cell_angle_alpha 90.00
_cell_angle_beta 90.00
_cell_angle_gamma 90.00
loop_
_atom_site_label
_atom_site_fract_x
_atom_site_fract_y
_atom_site_fract_z
Ba1 0.000 0.500 0.000
Sr1 0.000 0.000 0.500
Ca1 0.500 0.500 0.500
Hg1 0.500 0.500 0.000
# ΔE_f   -0.125 eV per atom
# Energy relative to the lowest polymorph listed for this composition   0 meV/atom



# Sm2ZnPt PBE relaxed
data_Sm2ZnPt
_chemical_formula_sum 'Sm4 Zn2 Pt2'
_symmetry_space_group_name_H-M 'P 1 21/m 1'
_symmetry_Int_Tables_number 11
_symmetry_space_group_name_Hall '-P 2yb'
_cell_length_a 5.948
_cell_length_b 4.561
_cell_length_c 7.697
_cell_angle_alpha 90.00
_cell_angle_beta 112.10
_cell_angle_gamma 90.00
loop_
_atom_site_label
_atom_site_fract_x
_atom_site_fract_y
_atom_site_fract_z
Sm1 0.182 0.250 0.416
Sm2 0.282 0.750 0.070
Zn1 0.374 0.750 0.706
Pt1 0.147 0.250 0.789
# ΔE_f   -0.772 eV per atom



# CoTeAu2 PBE relaxed
data_CoTeAu2
_chemical_formula_sum 'Co2 Te2 Au4'
_symmetry_space_group_name_H-M 'C 1 2/m 1'
_symmetry_Int_Tables_number 12
_symmetry_space_group_name_Hall '-C 2y'
_cell_length_a 12.523
_cell_length_b 3.136
_cell_length_c 4.037
_cell_angle_alpha 90.00
_cell_angle_beta 108.63
_cell_angle_gamma 90.00
loop_
_atom_site_label
_atom_site_fract_x
_atom_site_fract_y
_atom_site_fract_z
Co1 0.000 0.000 0.000
Te1 0.000 0.500 0.500
Au1 0.191 0.500 0.192
# Energy relative to the elements, uncorrected   0.260 eV/atom



# GdYThSc PBE relaxed
data_GdYThSc
_chemical_formula_sum 'Gd4 Y4 Th4 Sc4'
_symmetry_space_group_name_H-M 'F -4 3 m'
_symmetry_Int_Tables_number 216
_symmetry_space_group_name_Hall 'F -4 2 3'
_cell_length_a 7.868
_cell_length_b 7.868
_cell_length_c 7.868
_cell_angle_alpha 90.00
_cell_angle_beta 90.00
_cell_angle_gamma 90.00
loop_
_atom_site_label
_atom_site_fract_x
_atom_site_fract_y
_atom_site_fract_z
Gd1 0.000 0.000 0.000
Y1 0.250 0.250 0.250
Th1 0.000 0.000 0.500
Sc1 0.250 0.250 0.750
# ΔE_f   0.110 eV per atom



# Os PBE relaxed
data_Os
_chemical_formula_sum 'Os8'
_symmetry_space_group_name_H-M 'F m m m'
_symmetry_Int_Tables_number 69
_symmetry_space_group_name_Hall '-F 2 2'
_cell_length_a 3.935
_cell_length_b 3.946
_cell_length_c 8.331
_cell_angle_alpha 90.00
_cell_angle_beta 90.00
_cell_angle_gamma 90.00
loop_
_atom_site_label
_atom_site_fract_x
_atom_site_fract_y
_atom_site_fract_z
Os1 0.000 0.000 0.150
# ΔE_f   0.519 eV per atom
# Energy relative to the lowest polymorph listed for this composition   519 meV/atom



# AcYHg3 PBE relaxed
data_AcYHg3
_chemical_formula_sum 'Ac4 Y4 Hg12'
_symmetry_space_group_name_H-M 'C m c m'
_symmetry_Int_Tables_number 63
_symmetry_space_group_name_Hall '-C 2c 2'
_cell_length_a 3.826
_cell_length_b 29.598
_cell_length_c 5.014
_cell_angle_alpha 90.00
_cell_angle_beta 90.00
_cell_angle_gamma 90.00
loop_
_atom_site_label
_atom_site_fract_x
_atom_site_fract_y
_atom_site_fract_z
Ac1 0.000 0.077 0.250
Y1 0.000 0.210 0.750
Hg1 0.000 0.314 0.750
Hg2 0.000 0.374 0.250
Hg3 0.000 0.475 0.250
# ΔE_f   -0.462 eV per atom



# ThU2SiC4 PBE relaxed
data_ThU2SiC4
_chemical_formula_sum 'Th4 U8 Si4 C16'
_symmetry_space_group_name_H-M 'C m c m'
_symmetry_Int_Tables_number 63
_symmetry_space_group_name_Hall '-C 2c 2'
_cell_length_a 3.547
_cell_length_b 11.483
_cell_length_c 11.652
_cell_angle_alpha 90.00
_cell_angle_beta 90.00
_cell_angle_gamma 90.00
loop_
_atom_site_label
_atom_site_fract_x
_atom_site_fract_y
_atom_site_fract_z
Th1 0.000 0.102 0.250
U1 0.000 0.369 0.050
Si1 0.000 0.164 0.750
C1 0.000 0.000 0.000
C2 0.000 0.266 0.625
C3 0.000 0.424 0.250
# Energy relative to the elements, uncorrected   -0.158 eV/atom



# YInAsBr2 PBE relaxed
data_YInAsBr2
_chemical_formula_sum 'Y1 In1 As1 Br2'
_symmetry_space_group_name_H-M 'P 4/m m m'
_symmetry_Int_Tables_number 123
_symmetry_space_group_name_Hall '-P 4 2'
_cell_length_a 5.335
_cell_length_b 5.335
_cell_length_c 5.416
_cell_angle_alpha 90.00
_cell_angle_beta 90.00
_cell_angle_gamma 90.00
loop_
_atom_site_label
_atom_site_fract_x
_atom_site_fract_y
_atom_site_fract_z
Y1 0.000 0.000 0.000
In1 0.500 0.500 0.500
As1 0.500 0.500 0.000
Br1 0.000 0.500 0.500
# Energy relative to the elements, uncorrected   -0.175 eV/atom
# Energy relative to the lowest polymorph listed for this composition   584 meV/atom



Number 1: total magnetization 0.000 μB per cell. Number 2: total magnetization 0.000 μB per cell. Number 3: total magnetization 0.000 μB per cell. Number 4: total magnetization 5.005 μB per cell. Number 5: total magnetization 0.000 μB per cell. Number 6: total magnetization 0.000 μB per cell. Number 7: total magnetization 1.031 μB per cell. Number 8: total magnetization 29.517 μB per cell. Number 9: total magnetization 0.000 μB per cell. Number 10: total magnetization 0.000 μB per cell. Number 11: total magnetization 11.237 μB per cell. Number 12: total magnetization 0.385 μB per cell.